(1)
This record from Alexandria via LeMat-Bulk describes a relaxed Mo2HRh crystal. The functional is PBE.

Properties
N(E_F) (states/eV/cell): 4.18
VASP energy (eV per cell): -29.7

Lattice parameters (Å, degrees): 4.2334 4.2334 4.2334 60.00 60.00 60.00
With the nearest neighbours (Å) after each atom.
Atoms (fractional coordinates):
Mo1 0.2500 0.2500 0.2500  4 Rh 2.59, 4 H 2.59
Mo2 0.7500 0.7500 0.7500  4 Rh 2.59, 4 H 2.59
H1 0.0000 0.0000 0.0000  8 Mo 2.59
Rh1 0.5000 0.5000 0.5000  8 Mo 2.59

(2)
This record from Alexandria via LeMat-Bulk describes a relaxed MoHRh crystal. The functional is PBE.

Properties
N(E_F) (states/eV/cell): 4.09
VASP energy (eV per cell): -42.7

Lattice parameters (Å, degrees): 4.2154 3.9799 3.9796 89.78 90.00 90.00
With the nearest neighbours (Å) after each atom.
Atoms (fractional coordinates):
Mo1 0.8958 0.1708 0.1538  2 H 1.83
Mo2 0.8958 0.6708 0.6538  2 H 1.83
H1 0.6159 0.4213 0.9043  2 Rh 1.69, 2 Mo 1.83
H2 0.1756 0.9212 0.4043  2 Rh 1.69, 2 Mo 1.83
Rh1 0.3955 0.6711 0.1540  2 H 1.69
Rh2 0.3962 0.1711 0.6540  2 H 1.69

(3)
This record from Alexandria via LeMat-Bulk describes a relaxed Mo2HRh crystal. The functional is PBE.

Properties
N(E_F) (states/eV/cell): 7.72
VASP energy (eV per cell): -59.8

Lattice parameters (Å, degrees): 4.6805 4.6805 6.1890 67.78 67.78 90.00
With the nearest neighbours (Å) after each atom.
Atoms (fractional coordinates):
Rh1 0.0000 0.0000 0.0000  4 Mo 2.52
Rh2 0.7500 0.2500 0.5000  4 Mo 2.52
H1 0.2500 0.7500 0.5000  4 Mo 1.83
H2 0.5000 0.5000 0.0000  4 Mo 1.83
Mo1 0.8750 0.7393 0.7500  2 H 1.83
Mo2 0.2607 0.6250 0.2500  2 H 1.83
Mo3 0.4893 0.1250 0.2500  2 H 1.83
Mo4 0.3750 0.5107 0.7500  2 H 1.83

(4)
This record from Alexandria via LeMat-Bulk describes a relaxed MoHRh3 crystal. The functional is PBE.

Properties
N(E_F) (states/eV/cell): 8.67
VASP energy (eV per cell): -73.9

Lattice parameters (Å, degrees): 4.4397 5.5575 5.6092 60.31 89.70 90.00
With the nearest neighbours (Å) after each atom.
Atoms (fractional coordinates):
Rh1 0.4463 0.1579 0.8972  2 H 1.96-1.99
Rh2 0.4438 0.1541 0.4111  1 H 2.01
Rh3 0.9378 0.4917 0.2418  2 H 1.96-1.99
Rh4 0.4463 0.6640 0.8972  2 H 1.96-1.99
Rh5 0.9378 0.9857 0.2418  2 H 1.96-1.99
Rh6 0.9403 0.4956 0.7279  1 H 2.01
H1 0.1920 0.8249 0.0695  4 Rh 1.96, 2 Mo 2.06
H2 0.1921 0.3248 0.0695  6 Rh 1.99-2.01
Mo1 0.9342 0.0002 0.7187  1 H 2.06
Mo2 0.4499 0.6494 0.4204  1 H 2.06

(5)
This record from Alexandria via LeMat-Bulk describes a relaxed MoHRh3 crystal. The functional is PBE.

Properties
N(E_F) (states/eV/cell): 4.83
VASP energy (eV per cell): -36.7

Lattice parameters (Å, degrees): 3.9213 3.9213 3.9213 90.00 90.00 90.00
With the nearest neighbours (Å) after each atom.
Atoms (fractional coordinates):
Rh1 0.0000 0.0000 0.5000  2 H 1.96
Rh2 0.5000 0.0000 0.0000  2 H 1.96
Rh3 0.0000 0.5000 0.0000  2 H 1.96
H1 0.0000 0.0000 0.0000  6 Rh 1.96
Mo1 0.5000 0.5000 0.5000  12 Rh 2.77

(6)
This record from Alexandria via LeMat-Bulk describes a relaxed MoH2Rh2 crystal. The functional is PBE.

Properties
N(E_F) (states/eV/cell): 6.77
VASP energy (eV per cell): -64.8

Lattice parameters (Å, degrees): 2.8305 3.9448 8.7646 90.00 90.00 90.00
With the nearest neighbours (Å) after each atom.
Atoms (fractional coordinates):
H1 0.7500 0.2500 0.2733  4 Rh 1.87-2.01
H2 0.2500 0.7500 0.4336  4 Rh 1.95-1.98
H3 0.7500 0.2500 0.5664  4 Rh 1.95-1.98
H4 0.2500 0.7500 0.7267  4 Rh 1.87-2.01
Rh1 0.7500 0.7500 0.2291  2 H 2.01
Rh2 0.7500 0.7500 0.5875  6 H 1.87-1.98
Rh3 0.2500 0.2500 0.7709  2 H 2.01
Rh4 0.2500 0.2500 0.4125  6 H 1.87-1.98
Mo1 0.2500 0.2500 0.0858  2 H 2.17
Mo2 0.7500 0.7500 0.9142  2 H 2.17

(7)
This record from Alexandria via LeMat-Bulk describes a relaxed MoHRh3 crystal. The functional is PBE.

Properties
N(E_F) (states/eV/cell): 3.23
VASP energy (eV per cell): -27.7

Lattice parameters (Å, degrees): 4.6896 4.6896 4.6896 90.00 90.00 90.00
With the nearest neighbours (Å) after each atom.
Atoms (fractional coordinates):
H1 0.5000 0.5000 0.5000  12 Rh 3.32
Rh1 0.0000 0.0000 0.5000  2 Mo 2.34
Rh2 0.5000 0.0000 0.0000  2 Mo 2.34
Rh3 0.0000 0.5000 0.0000  2 Mo 2.34
Mo1 0.0000 0.0000 0.0000  6 Rh 2.34

(8)
This record from Alexandria via LeMat-Bulk describes a relaxed Mo2H2Rh crystal. The functional is PBE.

Properties
N(E_F) (states/eV/cell): 3.54
VASP energy (eV per cell): -69.6

Lattice parameters (Å, degrees): 6.1234 6.1234 2.7492 90.00 90.00 90.00
With the nearest neighbours (Å) after each atom.
Atoms (fractional coordinates):
Mo1 0.3568 0.1432 0.5000  6 H 2.21-2.34
Mo2 0.8568 0.3568 0.5000  6 H 2.21-2.34
Mo3 0.1432 0.6432 0.5000  6 H 2.21-2.34
Mo4 0.6432 0.8568 0.5000  6 H 2.21-2.34
Rh1 0.5000 0.5000 0.0000  4 H 2.37
Rh2 0.0000 0.0000 0.0000  4 H 2.37
H1 0.8616 0.6384 0.0000  6 Mo 2.21-2.34, 2 Rh 2.37, 1 H 2.40
H2 0.1384 0.3616 0.0000  6 Mo 2.21-2.34, 2 Rh 2.37, 1 H 2.40
H3 0.6384 0.1384 0.0000  6 Mo 2.21-2.34, 2 Rh 2.37, 1 H 2.40
H4 0.3616 0.8616 0.0000  6 Mo 2.21-2.34, 2 Rh 2.37, 1 H 2.40